[1]
# Nb5Ge5Os

A geometry-optimized Nb5Ge5Os structure (PBE, Alexandria via LeMat-Bulk). Values from VASP.

Results
- Symmetry: C2/m (12)
- DFT formation energy: 0.145 eV per atom

```
&SYSTEM
  ibrav = 0, nat = 11, ntyp = 3
/
ATOMIC_SPECIES
Nb 92.91 Nb.upf
Ge 72.64 Ge.upf
Os 190.23 Os.upf
CELL_PARAMETERS angstrom
4.983 -2.550 0.000
4.983 2.550 0.000
-3.124 0.000 7.749
ATOMIC_POSITIONS crystal
Nb 0.000 0.000 0.000
Nb 0.306 0.306 0.127
Nb 0.386 0.386 0.756
Nb 0.614 0.614 0.244
Nb 0.694 0.694 0.873
Ge 0.142 0.142 0.803
Ge 0.199 0.199 0.378
Ge 0.500 0.500 0.500
Ge 0.801 0.801 0.622
Ge 0.858 0.858 0.197
Os 0.000 0.000 0.500
```

***

[2]
# Ce2PrSc

A geometry-optimized Ce2PrSc structure (PBE, Alexandria via LeMat-Bulk). Values from VASP.

Results
- Symmetry: Fm-3m (225)
- DFT formation energy: 0.264 eV per atom
- Energy above the most stable polymorph in this dataset: 153 meV/atom

```
&SYSTEM
  ibrav = 0, nat = 4, ntyp = 3
/
ATOMIC_SPECIES
Ce 140.12 Ce.upf
Pr 140.91 Pr.upf
Sc 44.96 Sc.upf
CELL_PARAMETERS angstrom
0.000 3.944 3.944
3.944 0.000 3.944
3.944 3.944 0.000
ATOMIC_POSITIONS crystal
Ce 0.250 0.250 0.250
Ce 0.750 0.750 0.750
Pr 0.000 0.000 0.000
Sc 0.500 0.500 0.500
```

***

[3]
# Er2Mg2Cu

A geometry-optimized Er2Mg2Cu structure (PBE, Alexandria via LeMat-Bulk). Values from VASP.

Results
- Symmetry: I4/mmm (139)
- DFT formation energy: -0.139 eV per atom

```
&SYSTEM
  ibrav = 0, nat = 5, ntyp = 3
/
ATOMIC_SPECIES
Er 167.26 Er.upf
Mg 24.30 Mg.upf
Cu 63.55 Cu.upf
CELL_PARAMETERS angstrom
-1.712 1.712 10.058
1.712 -1.712 10.058
1.712 1.712 -10.058
ATOMIC_POSITIONS crystal
Er 0.084 0.084 0.000
Er 0.916 0.916 0.000
Mg 0.299 0.299 0.000
Mg 0.701 0.701 0.000
Cu 0.500 0.500 0.000
```

***

[4]
# PmAlGa2Au

A geometry-optimized PmAlGa2Au structure (PBE, Alexandria via LeMat-Bulk). Values from VASP.

Results
- Symmetry: I-4m2 (119)
- DFT formation energy: -0.616 eV per atom

```
&SYSTEM
  ibrav = 0, nat = 5, ntyp = 4
/
ATOMIC_SPECIES
Pm 145.00 Pm.upf
Al 26.98 Al.upf
Ga 69.72 Ga.upf
Au 196.97 Au.upf
CELL_PARAMETERS angstrom
-2.103 2.103 5.566
2.103 -2.103 5.566
2.103 2.103 -5.566
ATOMIC_POSITIONS crystal
Pm 0.000 0.000 0.000
Al 0.750 0.250 0.500
Ga 0.390 0.390 0.000
Ga 0.610 0.610 0.000
Au 0.250 0.750 0.500
```

***

[5]
# NaPa5P6

A geometry-optimized NaPa5P6 structure (PBE, Alexandria via LeMat-Bulk). Values from VASP.

Results
- Symmetry: C2/m (12)
- DFT formation energy: -1.132 eV per atom

```
&SYSTEM
  ibrav = 0, nat = 12, ntyp = 3
/
ATOMIC_SPECIES
Na 22.99 Na.upf
Pa 231.04 Pa.upf
P 30.97 P.upf
CELL_PARAMETERS angstrom
3.447 -5.972 0.000
3.447 5.972 0.000
-2.295 0.000 6.490
ATOMIC_POSITIONS crystal
Na 0.000 0.000 0.000
Pa 0.162 0.838 0.500
Pa 0.333 0.667 0.000
Pa 0.500 0.500 0.500
Pa 0.667 0.333 0.000
Pa 0.838 0.162 0.500
P 0.085 0.423 0.254
P 0.255 0.255 0.751
P 0.423 0.085 0.254
P 0.577 0.915 0.746
P 0.745 0.745 0.249
P 0.915 0.577 0.746
```

***

[6]
# LaPrDy2Hg4

A geometry-optimized LaPrDy2Hg4 structure (PBE, Alexandria via LeMat-Bulk). Values from VASP.

Results
- Symmetry: R-3m (166)
- DFT formation energy: -0.468 eV per atom

```
&SYSTEM
  ibrav = 0, nat = 8, ntyp = 4
/
ATOMIC_SPECIES
La 138.91 La.upf
Pr 140.91 Pr.upf
Dy 162.50 Dy.upf
Hg 200.59 Hg.upf
CELL_PARAMETERS angstrom
2.696 1.556 8.797
-2.696 1.556 8.797
0.000 -3.113 8.797
ATOMIC_POSITIONS crystal
La 0.000 0.000 0.000
Pr 0.500 0.500 0.500
Dy 0.250 0.250 0.250
Dy 0.750 0.750 0.750
Hg 0.126 0.126 0.126
Hg 0.376 0.376 0.376
Hg 0.624 0.624 0.624
Hg 0.874 0.874 0.874
```

***

[7]
# Na3Ho2TiS6

A geometry-optimized Na3Ho2TiS6 structure (PBE, Alexandria via LeMat-Bulk). Values from VASP.

Results
- Symmetry: C2/m (12)
- Energy relative to the elements, uncorrected: -1.643 eV per atom

```
&SYSTEM
  ibrav = 0, nat = 12, ntyp = 4
/
ATOMIC_SPECIES
Na 22.99 Na.upf
Ho 164.93 Ho.upf
Ti 47.87 Ti.upf
S 32.06 S.upf
CELL_PARAMETERS angstrom
3.335 -5.777 0.000
3.335 5.777 0.000
-2.223 0.000 6.672
ATOMIC_POSITIONS crystal
Na 0.000 0.000 0.000
Na 0.332 0.668 0.000
Na 0.668 0.332 0.000
Ho 0.167 0.833 0.500
Ho 0.833 0.167 0.500
Ti 0.500 0.500 0.500
S 0.111 0.426 0.279
S 0.260 0.260 0.718
S 0.426 0.111 0.279
S 0.574 0.889 0.721
S 0.740 0.740 0.282
S 0.889 0.574 0.721
```

***

[8]
# MgAlHg2Te4

A geometry-optimized MgAlHg2Te4 structure (PBE, Alexandria via LeMat-Bulk). Values from VASP.

Results
- Symmetry: I-4 (82)
- Energy relative to the elements, uncorrected: -0.338 eV per atom

```
&SYSTEM
  ibrav = 0, nat = 8, ntyp = 4
/
ATOMIC_SPECIES
Mg 24.30 Mg.upf
Al 26.98 Al.upf
Hg 200.59 Hg.upf
Te 127.60 Te.upf
CELL_PARAMETERS angstrom
-3.362 3.362 6.340
3.362 -3.362 6.340
3.362 3.362 -6.340
ATOMIC_POSITIONS crystal
Mg 0.000 0.000 0.000
Al 0.750 0.250 0.500
Hg 0.250 0.750 0.500
Hg 0.500 0.500 0.000
Te 0.095 0.605 0.956
Te 0.395 0.351 0.490
Te 0.649 0.139 0.044
Te 0.861 0.905 0.510
```

***

[9]
# MnSb4Pb

A geometry-optimized MnSb4Pb structure (PBE, Alexandria via LeMat-Bulk). Values from VASP.

Results
- Symmetry: F-43m (216)
- Energy relative to the elements, uncorrected: 0.495 eV per atom

```
&SYSTEM
  ibrav = 0, nat = 6, ntyp = 3
/
ATOMIC_SPECIES
Mn 54.94 Mn.upf
Sb 121.76 Sb.upf
Pb 207.20 Pb.upf
CELL_PARAMETERS angstrom
0.000 4.423 4.423
4.423 0.000 4.423
4.423 4.423 0.000
ATOMIC_POSITIONS crystal
Mn 0.000 0.000 0.000
Sb 0.374 0.374 0.374
Sb 0.374 0.374 0.877
Sb 0.374 0.877 0.374
Sb 0.877 0.374 0.374
Pb 0.750 0.750 0.750
```

***

[10]
# HoTmNiRu

A geometry-optimized HoTmNiRu structure (PBE, Alexandria via LeMat-Bulk). Values from VASP.

Results
- Symmetry: P4mm (99)
- DFT formation energy: -0.468 eV per atom
- Energy above the most stable polymorph in this dataset: 0 meV/atom

```
&SYSTEM
  ibrav = 0, nat = 4, ntyp = 4
/
ATOMIC_SPECIES
Ho 164.93 Ho.upf
Tm 168.93 Tm.upf
Ni 58.69 Ni.upf
Ru 101.07 Ru.upf
CELL_PARAMETERS angstrom
3.373 0.000 0.000
0.000 3.373 0.000
0.000 0.000 6.673
ATOMIC_POSITIONS crystal
Ho 0.000 0.000 0.000
Tm 0.000 0.000 0.497
Ni 0.500 0.500 0.745
Ru 0.500 0.500 0.251
```

***

[11]
# Zn2Ga6Pd

A geometry-optimized Zn2Ga6Pd structure (PBE, Alexandria via LeMat-Bulk). Values from VASP.

Results
- Symmetry: R3 (146)
- DFT formation energy: -0.070 eV per atom

```
&SYSTEM
  ibrav = 0, nat = 9, ntyp = 3
/
ATOMIC_SPECIES
Zn 65.41 Zn.upf
Ga 69.72 Ga.upf
Pd 106.42 Pd.upf
CELL_PARAMETERS angstrom
3.001 1.733 5.301
-3.001 1.733 5.301
0.000 -3.465 5.301
ATOMIC_POSITIONS crystal
Zn 0.000 0.000 0.000
Zn 0.157 0.157 0.157
Ga 0.094 0.628 0.469
Ga 0.321 0.569 0.848
Ga 0.469 0.094 0.628
Ga 0.569 0.848 0.321
Ga 0.628 0.469 0.094
Ga 0.848 0.321 0.569
Pd 0.836 0.836 0.836
```

***

[12]
# Ca2TiI

A geometry-optimized Ca2TiI structure (PBE, Alexandria via LeMat-Bulk). Values from VASP.

Results
- Symmetry: I-42d (122)
- Energy relative to the elements, uncorrected: 0.251 eV per atom
- Energy above the most stable polymorph in this dataset: 13 meV/atom

```
&SYSTEM
  ibrav = 0, nat = 8, ntyp = 3
/
ATOMIC_SPECIES
Ca 40.08 Ca.upf
Ti 47.87 Ti.upf
I 126.90 I.upf
CELL_PARAMETERS angstrom
-4.403 4.403 3.597
4.403 -4.403 3.597
4.403 4.403 -3.597
ATOMIC_POSITIONS crystal
Ca 0.109 0.625 0.984
Ca 0.375 0.359 0.484
Ca 0.641 0.125 0.016
Ca 0.875 0.891 0.516
Ti 0.250 0.750 0.500
Ti 0.500 0.500 0.000
I 0.000 0.000 0.000
I 0.750 0.250 0.500
```

***

Respective electronic total energy values: -7.5517 -5.4803 -3.4211 -4.1810 -7.9031 -2.9823 -5.4578 -2.6516 -4.3997 -6.4944 -2.9483 -3.1114 eV/atom.
Respective V values: 17.907 30.671 23.593 19.694 22.266 27.680 21.424 35.837 28.846 18.983 18.375 34.873 Å³ per atom.